w.
DFT (PBE-GGA) results for a relaxed structure of SnBiRu2.

* mass density: 8.1 g/cm3
* Fermi-level density of states: 1.149 states/eV per atom
* spin magnetization: 0.0000 μB/atom

The structure in CIF format:
```
data_SnBiRu2
_symmetry_space_group_name_H-M 'I -4 2 d'
_symmetry_Int_Tables_number 122
_symmetry_space_group_name_Hall 'I -4 2bw'
_cell_length_a 6.039
_cell_length_b 6.039
_cell_length_c 11.942
_cell_angle_alpha 90.00
_cell_angle_beta 90.00
_cell_angle_gamma 90.00
loop_
_atom_site_label
_atom_site_fract_x
_atom_site_fract_y
_atom_site_fract_z
_atom_site_occupancy
Sn1 0.000 0.000 0.000 1
Bi1 0.000 0.000 0.500 1
Ru1 0.243 0.250 0.125 1
```

x.
DFT (PBE-GGA) results for a relaxed structure of SnBiRu2.

* mass density: 12.1 g/cm3
* Fermi-level density of states: 1.240 states/eV per atom
* spin magnetization: 0.0700 μB/atom

The structure in CIF format:
```
data_SnBiRu2
_symmetry_space_group_name_H-M 'F m -3 m'
_symmetry_Int_Tables_number 225
_symmetry_space_group_name_Hall '-F 4 2 3'
_cell_length_a 6.634
_cell_length_b 6.634
_cell_length_c 6.634
_cell_angle_alpha 90.00
_cell_angle_beta 90.00
_cell_angle_gamma 90.00
loop_
_atom_site_label
_atom_site_fract_x
_atom_site_fract_y
_atom_site_fract_z
_atom_site_occupancy
Sn1 0.000 0.000 0.000 1
Bi1 0.000 0.000 0.500 1
Ru1 0.250 0.250 0.250 1
```

x (614 meV/atom below the next structure)

w.
DFT (PBE-GGA) results for a relaxed structure of SrBiRu3.

* mass density: 8.3 g/cm3
* Fermi-level density of states: 1.850 states/eV per atom
* spin magnetization: 0.6446 μB/atom

The structure in CIF format:
```
data_SrBiRu3
_symmetry_space_group_name_H-M 'P m -3 m'
_symmetry_Int_Tables_number 221
_symmetry_space_group_name_Hall '-P 4 2 3'
_cell_length_a 4.936
_cell_length_b 4.936
_cell_length_c 4.936
_cell_angle_alpha 90.00
_cell_angle_beta 90.00
_cell_angle_gamma 90.00
loop_
_atom_site_label
_atom_site_fract_x
_atom_site_fract_y
_atom_site_fract_z
_atom_site_occupancy
Sr1 0.000 0.000 0.000 1
Bi1 0.500 0.500 0.500 1
Ru1 0.000 0.000 0.500 1
```

x.
DFT (PBE-GGA) results for a relaxed structure of SrBiRu3.

* mass density: 7.7 g/cm3
* Fermi-level density of states: 1.281 states/eV per atom
* spin magnetization: 0.5646 μB/atom

The structure in CIF format:
```
data_SrBiRu3
_symmetry_space_group_name_H-M 'P m -3 m'
_symmetry_Int_Tables_number 221
_symmetry_space_group_name_Hall '-P 4 2 3'
_cell_length_a 5.059
_cell_length_b 5.059
_cell_length_c 5.059
_cell_angle_alpha 90.00
_cell_angle_beta 90.00
_cell_angle_gamma 90.00
loop_
_atom_site_label
_atom_site_fract_x
_atom_site_fract_y
_atom_site_fract_z
_atom_site_occupancy
Sr1 0.000 0.000 0.000 1
Bi1 0.500 0.500 0.500 1
Ru1 0.000 0.500 0.500 1
```

x (1002 meV/atom below the next structure)

w.
DFT (PBE-GGA) results for a relaxed structure of TcBi2Ru2.

* mass density: 10.6 g/cm3
* Fermi-level density of states: 1.111 states/eV per atom
* spin magnetization: 0.8490 μB/atom

The structure in CIF format:
```
data_TcBi2Ru2
_symmetry_space_group_name_H-M 'I 4/m m m'
_symmetry_Int_Tables_number 139
_symmetry_space_group_name_Hall '-I 4 2'
_cell_length_a 4.583
_cell_length_b 4.583
_cell_length_c 10.726
_cell_angle_alpha 90.00
_cell_angle_beta 90.00
_cell_angle_gamma 90.00
loop_
_atom_site_label
_atom_site_fract_x
_atom_site_fract_y
_atom_site_fract_z
_atom_site_occupancy
Tc1 0.000 0.000 0.000 1
Bi1 0.000 0.500 0.250 1
Ru1 0.000 0.000 0.390 1
```

x.
DFT (PBE-GGA) results for a relaxed structure of TcBi2Ru2.

* mass density: 12.0 g/cm3
* Fermi-level density of states: 0.940 states/eV per atom
* spin magnetization: 0.3197 μB/atom

The structure in CIF format:
```
data_TcBi2Ru2
_symmetry_space_group_name_H-M 'P 4/m b m'
_symmetry_Int_Tables_number 127
_symmetry_space_group_name_Hall '-P 4 2ab'
_cell_length_a 6.826
_cell_length_b 6.826
_cell_length_c 4.282
_cell_angle_alpha 90.00
_cell_angle_beta 90.00
_cell_angle_gamma 90.00
loop_
_atom_site_label
_atom_site_fract_x
_atom_site_fract_y
_atom_site_fract_z
_atom_site_occupancy
Tc1 0.000 0.000 0.000 1
Bi1 0.178 0.322 0.500 1
Ru1 0.131 0.631 0.000 1
```

x (484 meV/atom below the next structure)

w.
DFT (PBE-GGA) results for a relaxed structure of Th4BiRu.

* mass density: 11.7 g/cm3
* Fermi-level density of states: 1.128 states/eV per atom
* spin magnetization: 0.0000 μB/atom

The structure in CIF format:
```
data_Th4BiRu
_symmetry_space_group_name_H-M 'P 4/m c c'
_symmetry_Int_Tables_number 124
_symmetry_space_group_name_Hall '-P 4 2c'
_cell_length_a 7.491
_cell_length_b 7.491
_cell_length_c 6.280
_cell_angle_alpha 90.00
_cell_angle_beta 90.00
_cell_angle_gamma 90.00
loop_
_atom_site_label
_atom_site_fract_x
_atom_site_fract_y
_atom_site_fract_z
_atom_site_occupancy
Th1 0.139 0.317 0.000 1
Bi1 0.500 0.500 0.250 1
Ru1 0.000 0.000 0.250 1
```

x.
DFT (PBE-GGA) results for a relaxed structure of Th4BiRu.

* mass density: 11.6 g/cm3
* Fermi-level density of states: 1.241 states/eV per atom
* spin magnetization: 0.0000 μB/atom

The structure in CIF format:
```
data_Th4BiRu
_symmetry_space_group_name_H-M 'P m n 21'
_symmetry_Int_Tables_number 31
_symmetry_space_group_name_Hall 'P 2ac -2'
_cell_length_a 7.016
_cell_length_b 5.845
_cell_length_c 8.620
_cell_angle_alpha 90.00
_cell_angle_beta 90.00
_cell_angle_gamma 90.00
loop_
_atom_site_label
_atom_site_fract_x
_atom_site_fract_y
_atom_site_fract_z
_atom_site_occupancy
Th1 0.000 0.090 0.000 1
Th2 0.000 0.793 0.628 1
Th3 0.241 0.666 0.207 1
Bi1 0.000 0.204 0.374 1
Ru1 0.000 0.560 0.929 1
```

w (247 meV/atom below the next structure)

w.
DFT (PBE-GGA) results for a relaxed structure of Th7Bi2Ru2.

* mass density: 11.4 g/cm3
* Fermi-level density of states: 1.222 states/eV per atom
* spin magnetization: 0.0000 μB/atom

The structure in CIF format:
```
data_Th7Bi2Ru2
_symmetry_space_group_name_H-M 'I m m 2'
_symmetry_Int_Tables_number 44
_symmetry_space_group_name_Hall 'I 2 -2'
_cell_length_a 3.946
_cell_length_b 16.475
_cell_length_c 10.022
_cell_angle_alpha 90.00
_cell_angle_beta 90.00
_cell_angle_gamma 90.00
loop_
_atom_site_label
_atom_site_fract_x
_atom_site_fract_y
_atom_site_fract_z
_atom_site_occupancy
Th1 0.000 0.000 0.000 1
Th2 0.000 0.138 0.572 1
Th3 0.000 0.320 0.370 1
Th4 0.000 0.346 0.737 1
Bi1 0.000 0.000 0.332 1
Bi2 0.000 0.500 0.224 1
Ru1 0.000 0.226 0.057 1
```

x.
DFT (PBE-GGA) results for a relaxed structure of Th7Bi2Ru2.

* mass density: 9.7 g/cm3
* Fermi-level density of states: 1.273 states/eV per atom
* spin magnetization: 0.0000 μB/atom

The structure in CIF format:
```
data_Th7Bi2Ru2
_symmetry_space_group_name_H-M 'C 1 2/m 1'
_symmetry_Int_Tables_number 12
_symmetry_space_group_name_Hall '-C 2y'
_cell_length_a 8.700
_cell_length_b 11.383
_cell_length_c 7.940
_cell_angle_alpha 90.00
_cell_angle_beta 101.22
_cell_angle_gamma 90.00
loop_
_atom_site_label
_atom_site_fract_x
_atom_site_fract_y
_atom_site_fract_z
_atom_site_occupancy
Th1 0.000 0.000 0.000 1
Th2 0.074 0.500 0.786 1
Th3 0.191 0.266 0.189 1
Bi1 0.000 0.262 0.500 1
Ru1 0.226 0.500 0.126 1
```

w (406 meV/atom below the next structure)

w.
DFT (PBE-GGA) results for a relaxed structure of Th3Bi2Ru.

* mass density: 11.3 g/cm3
* Fermi-level density of states: 0.917 states/eV per atom
* spin magnetization: 0.0000 μB/atom

The structure in CIF format:
```
data_Th3Bi2Ru
_symmetry_space_group_name_H-M 'C 1 2/c 1'
_symmetry_Int_Tables_number 15
_symmetry_space_group_name_Hall '-C 2yc'
_cell_length_a 10.350
_cell_length_b 8.678
_cell_length_c 8.315
_cell_angle_alpha 90.00
_cell_angle_beta 106.34
_cell_angle_gamma 90.00
loop_
_atom_site_label
_atom_site_fract_x
_atom_site_fract_y
_atom_site_fract_z
_atom_site_occupancy
Th1 0.000 0.090 0.250 1
Th2 0.145 0.406 0.967 1
Bi1 0.168 0.201 0.645 1
Ru1 0.000 0.392 0.250 1
```

x.
DFT (PBE-GGA) results for a relaxed structure of Th3Bi2Ru.

* mass density: 10.7 g/cm3
* Fermi-level density of states: 0.840 states/eV per atom
* spin magnetization: 0.0000 μB/atom

The structure in CIF format:
```
data_Th3Bi2Ru
_symmetry_space_group_name_H-M 'I 4/m m m'
_symmetry_Int_Tables_number 139
_symmetry_space_group_name_Hall '-I 4 2'
_cell_length_a 4.474
_cell_length_b 4.474
_cell_length_c 18.826
_cell_angle_alpha 90.00
_cell_angle_beta 90.00
_cell_angle_gamma 90.00
loop_
_atom_site_label
_atom_site_fract_x
_atom_site_fract_y
_atom_site_fract_z
_atom_site_occupancy
Th1 0.000 0.000 0.000 1
Th2 0.000 0.000 0.361 1
Bi1 0.000 0.000 0.179 1
Ru1 0.000 0.000 0.500 1
```

x (98 meV/atom below the next structure)

w.
DFT (PBE-GGA) results for a relaxed structure of TiBi2Ru.

* mass density: 10.1 g/cm3
* Fermi-level density of states: 1.031 states/eV per atom
* spin magnetization: 0.0000 μB/atom

The structure in CIF format:
```
data_TiBi2Ru
_symmetry_space_group_name_H-M 'I -4 2 d'
_symmetry_Int_Tables_number 122
_symmetry_space_group_name_Hall 'I -4 2bw'
_cell_length_a 4.453
_cell_length_b 4.453
_cell_length_c 18.873
_cell_angle_alpha 90.00
_cell_angle_beta 90.00
_cell_angle_gamma 90.00
loop_
_atom_site_label
_atom_site_fract_x
_atom_site_fract_y
_atom_site_fract_z
_atom_site_occupancy
Ti1 0.000 0.000 0.000 1
Bi1 0.242 0.250 0.625 1
Ru1 0.000 0.000 0.500 1
```

x.
DFT (PBE-GGA) results for a relaxed structure of TiBi2Ru.

* mass density: 11.3 g/cm3
* Fermi-level density of states: 0.668 states/eV per atom
* spin magnetization: 0.5092 μB/atom

The structure in CIF format:
```
data_TiBi2Ru
_symmetry_space_group_name_H-M 'F m -3 m'
_symmetry_Int_Tables_number 225
_symmetry_space_group_name_Hall '-F 4 2 3'
_cell_length_a 6.926
_cell_length_b 6.926
_cell_length_c 6.926
_cell_angle_alpha 90.00
_cell_angle_beta 90.00
_cell_angle_gamma 90.00
loop_
_atom_site_label
_atom_site_fract_x
_atom_site_fract_y
_atom_site_fract_z
_atom_site_occupancy
Ti1 0.000 0.000 0.000 1
Bi1 0.250 0.250 0.250 1
Ru1 0.000 0.000 0.500 1
```

x (272 meV/atom below the next structure)